# 1
Entry from the Alexandria database: a relaxed structure of Nd2PaCo2 (PBE-GGA).

Magnetization: 0.00 μB per atom
Calculated formation energy: -251 meV per atom

Cell lengths 6.171, 6.171, 6.903 Å; angles 81.45, 81.45, 61.44 degrees
Positions (direct):
Nd  0.451  0.244  0.144
Nd  0.756  0.549  0.356
Nd  0.549  0.756  0.856
Nd  0.244  0.451  0.644
Co  0.288  0.996  0.486
Co  0.712  0.004  0.514
Co  0.996  0.288  0.986
Co  0.004  0.712  0.014
Pa  0.934  0.066  0.750
Pa  0.066  0.934  0.250

=====

# 2
Entry from the Alexandria database: a relaxed structure of Rb2Tl2Zn (PBE-GGA).

Magnetization: 0.00 μB per atom
Calculated formation energy: 227 meV per atom

Cell lengths 11.164, 11.164, 3.631 Å; angles 90.00, 90.00, 90.00 degrees
Positions (direct):
Zn  0.000  0.000  0.000
Zn  0.500  0.500  0.000
Rb  0.304  0.804  0.000
Rb  0.804  0.696  0.000
Rb  0.696  0.196  0.000
Rb  0.196  0.304  0.000
Tl  0.097  0.597  0.500
Tl  0.597  0.903  0.500
Tl  0.403  0.097  0.500
Tl  0.903  0.403  0.500

=====

# 3
Entry from the Alexandria database: a relaxed structure of K2Pb5Au3 (PBE-GGA).

Magnetization: 0.00 μB per atom
Calculated formation energy: -183 meV per atom

Cell lengths 7.196, 10.006, 10.006 Å; angles 74.17, 68.93, 68.93 degrees
Positions (direct):
Pb  0.750  0.500  0.500
Pb  0.399  0.246  0.956
Pb  0.006  0.244  0.244
Pb  0.994  0.756  0.756
Pb  0.101  0.044  0.754
Pb  0.601  0.754  0.044
Pb  0.250  0.500  0.500
Pb  0.506  0.244  0.244
Pb  0.899  0.956  0.246
Pb  0.494  0.756  0.756
Au  0.750  0.000  0.000
Au  0.250  0.000  0.000
Au  0.629  0.494  0.249
Au  0.129  0.249  0.494
Au  0.871  0.751  0.506
Au  0.371  0.506  0.751
K  0.364  0.882  0.389
K  0.864  0.389  0.882
K  0.636  0.118  0.611
K  0.136  0.611  0.118

=====

# 4
Entry from the Alexandria database: a relaxed structure of AgHgIr2 (PBE-GGA).

Magnetization: 0.22 μB per atom
Calculated formation energy: 621 meV per atom

Cell lengths 4.307, 3.953, 3.953 Å; angles 90.00, 90.00, 90.00 degrees
Positions (direct):
Ir  0.000  0.500  0.500
Ir  0.000  0.000  0.000
Hg  0.500  0.000  0.500
Ag  0.500  0.500  0.000

=====

# 5
Entry from the Alexandria database: a relaxed structure of PmDyIn2Se4 (PBE-GGA).

Magnetization: 0.00 μB per atom
Formation energy without anion corrections: -1001 kJ/mol of formula units

Cell lengths 4.203, 8.104, 7.282 Å; angles 72.60, 90.00, 90.00 degrees
Positions (direct):
Se  0.000  0.287  0.244
Se  0.500  0.290  0.731
Se  0.500  0.710  0.269
Se  0.000  0.713  0.756
In  0.500  0.000  0.500
In  0.000  0.000  0.000
Dy  0.000  0.500  0.500
Pm  0.500  0.500  0.000

=====

# 6
Entry from the Alexandria database: a relaxed structure of AcTb3B4O12 (PBE-GGA).

Magnetization: 0.00 μB per atom
Formation energy without anion corrections: -5967 kJ/mol of formula units

Cell lengths 6.616, 6.616, 6.616 Å; angles 102.11, 102.11, 102.11 degrees
Positions (direct):
Ac  0.000  0.000  0.000
O  0.374  0.973  0.183
O  0.183  0.374  0.973
O  0.635  0.500  0.365
O  0.027  0.626  0.817
O  0.095  0.905  0.500
O  0.500  0.095  0.905
O  0.905  0.500  0.095
O  0.365  0.635  0.500
O  0.626  0.817  0.027
O  0.817  0.027  0.626
O  0.973  0.183  0.374
O  0.500  0.365  0.635
Tb  0.000  0.538  0.462
Tb  0.462  0.000  0.538
Tb  0.538  0.462  0.000
B  0.960  0.040  0.500
B  0.040  0.500  0.960
B  0.500  0.960  0.040
B  0.500  0.500  0.500

=====

# 7
Entry from the Alexandria database: a relaxed structure of Nb2V3P2 (PBE-GGA).

Magnetization: 0.00 μB per atom
Calculated formation energy: -718 meV per atom

Cell lengths 3.390, 5.015, 6.821 Å; angles 112.07, 90.00, 109.75 degrees
Positions (direct):
P  0.835  0.671  0.786
P  0.165  0.329  0.214
V  0.628  0.256  0.435
V  0.500  0.000  0.000
V  0.372  0.744  0.565
Nb  0.131  0.263  0.786
Nb  0.869  0.737  0.214

=====

# 8
Entry from the Alexandria database: a relaxed structure of LaTm3Rh (PBE-GGA).

Magnetization: 0.00 μB per atom
Calculated formation energy: -318 meV per atom

Cell lengths 5.373, 5.373, 5.373 Å; angles 90.00, 90.00, 90.00 degrees
Positions (direct):
Tm  0.000  0.000  0.500
Tm  0.000  0.500  0.000
Tm  0.500  0.000  0.000
La  0.500  0.500  0.500
Rh  0.000  0.000  0.000

=====

Which formula does entry 3 have? K2Pb5Au3